[1]
Sr2NiPI | the Alexandria database | PBE | optimized geometry; symmetry = P4/mmm, No. 123; excess energy over the best structure of this formula in the dataset = 0.0 meV/atom; ΔE_f (raw) = -0.8873 eV per atom
1.0
5.9547 0.0000 0.0000
0.0000 5.9547 0.0000
0.0000 0.0000 4.2093
Sr Ni P I
2 1 1 1
Direct
0.0000 0.5000 0.0000 Sr
0.5000 0.0000 0.0000 Sr
0.0000 0.0000 0.5000 Ni
0.0000 0.0000 0.0000 P
0.5000 0.5000 0.5000 I


[2]
NiTe2PI | the Alexandria database | PBE | optimized geometry; symmetry = P4/mmm, No. 123; excess energy over the best structure of this formula in the dataset = 0.0 meV/atom; ΔE_f (raw) = 0.6809 eV per atom
1.0
4.9974 0.0000 0.0000
0.0000 4.9974 0.0000
0.0000 0.0000 5.0517
Ni Te P I
1 2 1 1
Direct
0.0000 0.0000 0.0000 Ni
0.0000 0.5000 0.0000 Te
0.5000 0.0000 0.0000 Te
0.5000 0.5000 0.5000 P
0.0000 0.0000 0.5000 I


[3]
NiTe2PI | the Alexandria database | PBE | optimized geometry; symmetry = P4/mmm, No. 123; excess energy over the best structure of this formula in the dataset = 272.8 meV/atom; ΔE_f (raw) = 0.9537 eV per atom
1.0
5.3021 0.0000 0.0000
0.0000 5.3021 0.0000
0.0000 0.0000 5.2596
Ni Te P I
1 2 1 1
Direct
0.0000 0.0000 0.0000 Ni
0.0000 0.5000 0.5000 Te
0.5000 0.0000 0.5000 Te
0.5000 0.5000 0.5000 P
0.5000 0.5000 0.0000 I